(1)
Compound: Tb2Si4Rh3
Source: the Alexandria database
Functional: PBE
Structure: relaxed

a = 7.6170 Å, b = 6.5224 Å, c = 5.5113 Å
α = 78.04°, β = 56.90°, γ = 45.06°
With the nearest neighbours (Å) after each atom.
Fractional coordinates of all 9 atoms:
Tb 0.1355 0.1355 0.8645  8 Si 2.97-3.23, 6 Rh 3.17-3.19, 1 Tb 3.21
Tb 0.8645 0.8645 0.1355  8 Si 2.97-3.23, 6 Rh 3.17-3.19, 1 Tb 3.21
Si 0.1622 0.5186 0.4814  3 Rh 2.43-2.55, 1 Si 2.55
Si 0.4814 0.8378 0.1622  3 Rh 2.43-2.55, 1 Si 2.55
Si 0.5186 0.1622 0.8378  3 Rh 2.43-2.55, 1 Si 2.55
Si 0.8378 0.4814 0.5186  3 Rh 2.43-2.55, 1 Si 2.55
Rh 0.0000 0.0000 0.5000  4 Si 2.43
Rh 0.5000 0.5000 0.0000  4 Si 2.43
Rh 0.5000 0.5000 0.5000  4 Si 2.55, 4 Rh 2.76



(2)
Compound: TbSi2Rh3
Source: the Alexandria database
Functional: PBE
Structure: relaxed

Output
ΔE to the lowest computed polymorph = 0.034 eV per atom

a = 8.1967 Å, b = 8.1967 Å, c = 9.7112 Å
α = 107.61°, β = 107.61°, γ = 28.02°
With the nearest neighbours (Å) after each atom.
Fractional coordinates of all 18 atoms:
Tb 0.0000 0.0000 0.0000  6 Si 2.97-3.12, 6 Rh 3.01-3.06
Tb 0.1603 0.1603 0.6993  6 Si 3.06-3.10, 9 Rh 3.09-3.38
Tb 0.8397 0.8397 0.3007  6 Si 3.06-3.10, 9 Rh 3.09-3.38
Si 0.1955 0.1955 0.1281  6 Rh 2.41-2.55
Si 0.3620 0.3620 0.5535  7 Rh 2.33-2.56
Si 0.4643 0.4643 0.2230  5 Rh 2.38-2.59
Si 0.5357 0.5357 0.7770  5 Rh 2.38-2.59
Si 0.6380 0.6380 0.4465  7 Rh 2.33-2.56
Si 0.8045 0.8045 0.8719  6 Rh 2.41-2.55
Rh 0.0397 0.0397 0.3294  4 Si 2.38-2.56
Rh 0.2183 0.2183 0.3927  4 Si 2.33-2.50
Rh 0.3229 0.3229 0.0431  4 Si 2.38-2.55
Rh 0.3786 0.3786 0.8026  4 Si 2.35-2.59
Rh 0.5000 0.5000 0.5000  4 Si 2.41-2.57
Rh 0.6214 0.6214 0.1974  4 Si 2.35-2.59
Rh 0.6771 0.6771 0.9569  4 Si 2.38-2.55
Rh 0.7817 0.7817 0.6073  4 Si 2.33-2.50
Rh 0.9603 0.9603 0.6706  4 Si 2.38-2.56



(3)
Compound: Tb3Si3Rh
Source: the Alexandria database
Functional: PBE
Structure: relaxed

a = 5.7247 Å, b = 5.7247 Å, c = 13.6056 Å
α = 109.33°, β = 109.33°, γ = 43.54°
With the nearest neighbours (Å) after each atom.
Fractional coordinates of all 14 atoms:
Tb 0.0216 0.0216 0.3751  6 Si 2.92-3.10, 4 Rh 3.02-3.16
Tb 0.1019 0.1019 0.9209  7 Si 2.96-3.13
Tb 0.2442 0.2442 0.2277  6 Si 2.92-3.20
Tb 0.7558 0.7558 0.7723  6 Si 2.92-3.20
Tb 0.8981 0.8981 0.0791  7 Si 2.96-3.13
Tb 0.9784 0.9784 0.6249  6 Si 2.92-3.10, 4 Rh 3.02-3.16
Si 0.3696 0.3696 0.4564  3 Rh 2.45-2.47, 1 Si 2.60
Si 0.3873 0.3873 0.9250  2 Si 2.53
Si 0.4509 0.4509 0.7631  1 Si 2.53, 1 Rh 2.59
Si 0.5491 0.5491 0.2369  1 Si 2.53, 1 Rh 2.59
Si 0.6127 0.6127 0.0750  2 Si 2.53
Si 0.6304 0.6304 0.5436  3 Rh 2.45-2.47, 1 Si 2.60
Rh 0.2529 0.2529 0.5840  4 Si 2.45-2.59
Rh 0.7471 0.7471 0.4160  4 Si 2.45-2.59



(4)
Compound: TbSi4Rh2
Source: the Alexandria database
Functional: PBE
Structure: relaxed

a = 16.5677 Å, b = 4.1695 Å, c = 6.3752 Å
α = 90.00°, β = 90.00°, γ = 90.00°
With the nearest neighbours (Å) after each atom.
Fractional coordinates of all 28 atoms:
Tb 0.1413 0.2500 0.0040  9 Si 2.87-3.16, 4 Rh 3.20
Tb 0.3587 0.7500 0.5040  9 Si 2.87-3.16, 4 Rh 3.20
Tb 0.6413 0.2500 0.4960  9 Si 2.87-3.16, 4 Rh 3.20
Tb 0.8587 0.7500 0.9960  9 Si 2.87-3.16, 4 Rh 3.20
Si 0.0328 0.7500 0.1393  3 Rh 2.46-2.50, 1 Si 2.63
Si 0.0654 0.2500 0.5376  4 Rh 2.44-2.53, 1 Si 2.63
Si 0.1818 0.7500 0.6886  4 Rh 2.50-2.58, 1 Si 2.58
Si 0.1920 0.7500 0.2851  3 Rh 2.47-2.48, 1 Si 2.58
Si 0.3080 0.2500 0.7851  3 Rh 2.47-2.48, 1 Si 2.58
Si 0.3182 0.2500 0.1886  4 Rh 2.50-2.58, 1 Si 2.58
Si 0.4346 0.7500 0.0376  4 Rh 2.44-2.53, 1 Si 2.63
Si 0.4672 0.2500 0.6393  3 Rh 2.46-2.50, 1 Si 2.63
Si 0.5328 0.7500 0.3607  3 Rh 2.46-2.50, 1 Si 2.63
Si 0.5654 0.2500 0.9624  4 Rh 2.44-2.53, 1 Si 2.63
Si 0.6818 0.7500 0.8114  4 Rh 2.50-2.58, 1 Si 2.58
Si 0.6920 0.7500 0.2149  3 Rh 2.47-2.48, 1 Si 2.58
Si 0.8080 0.2500 0.7149  3 Rh 2.47-2.48, 1 Si 2.58
Si 0.8182 0.2500 0.3114  4 Rh 2.50-2.58, 1 Si 2.58
Si 0.9346 0.7500 0.4624  4 Rh 2.44-2.53, 1 Si 2.63
Si 0.9672 0.2500 0.8607  3 Rh 2.46-2.50, 1 Si 2.63
Rh 0.0328 0.7500 0.7474  7 Si 2.44-2.53
Rh 0.2124 0.2500 0.4856  7 Si 2.46-2.58
Rh 0.2876 0.7500 0.9856  7 Si 2.46-2.58
Rh 0.4672 0.2500 0.2474  7 Si 2.44-2.53
Rh 0.5328 0.7500 0.7526  7 Si 2.44-2.53
Rh 0.7124 0.2500 0.0144  7 Si 2.46-2.58
Rh 0.7876 0.7500 0.5144  7 Si 2.46-2.58
Rh 0.9672 0.2500 0.2526  7 Si 2.44-2.53



(5)
Compound: TbSi2Rh2
Source: the Alexandria database
Functional: PBE
Structure: relaxed

a = 4.0652 Å, b = 4.0652 Å, c = 10.0135 Å
α = 90.00°, β = 90.00°, γ = 90.00°
With the nearest neighbours (Å) after each atom.
Fractional coordinates of all 10 atoms:
Tb 0.0000 0.0000 0.0000  8 Si 3.12, 8 Rh 3.22
Tb 0.5000 0.5000 0.5000  8 Si 3.12, 8 Rh 3.22
Si 0.0000 0.0000 0.3784  4 Rh 2.41, 1 Si 2.43
Si 0.0000 0.0000 0.6216  4 Rh 2.41, 1 Si 2.43
Si 0.5000 0.5000 0.1216  4 Rh 2.41, 1 Si 2.43
Si 0.5000 0.5000 0.8784  4 Rh 2.41, 1 Si 2.43
Rh 0.0000 0.5000 0.2500  4 Si 2.41
Rh 0.0000 0.5000 0.7500  4 Si 2.41
Rh 0.5000 0.0000 0.2500  4 Si 2.41
Rh 0.5000 0.0000 0.7500  4 Si 2.41



(6)
Compound: TbSiRh3
Source: the Alexandria database
Functional: PBE
Structure: relaxed

Output
ΔE to the lowest computed polymorph = 0.000 eV per atom

a = 6.9667 Å, b = 6.9667 Å, c = 3.5975 Å
α = 90.00°, β = 90.00°, γ = 108.72°
With the nearest neighbours (Å) after each atom.
Fractional coordinates of all 10 atoms:
Tb 0.2250 0.7750 0.0000  11 Rh 2.94-3.23, 2 Si 3.07
Tb 0.7750 0.2250 0.0000  11 Rh 2.94-3.23, 2 Si 3.07
Si 0.2108 0.2108 0.0000  7 Rh 2.35-2.48
Si 0.7892 0.7892 0.0000  7 Rh 2.35-2.48
Rh 0.0000 0.0000 0.5000  4 Si 2.48
Rh 0.1736 0.4274 0.5000  2 Si 2.41
Rh 0.4274 0.1736 0.5000  2 Si 2.41
Rh 0.5000 0.5000 0.0000  2 Si 2.35
Rh 0.5726 0.8264 0.5000  2 Si 2.41
Rh 0.8264 0.5726 0.5000  2 Si 2.41



(7)
Compound: TbSi2Rh
Source: the Alexandria database
Functional: PBE
Structure: relaxed

a = 5.8231 Å, b = 10.1890 Å, c = 5.6157 Å
α = 90.00°, β = 120.55°, γ = 90.00°
With the nearest neighbours (Å) after each atom.
Fractional coordinates of all 16 atoms:
Tb 0.0000 0.1230 0.2500  4 Rh 2.98-3.32, 8 Si 3.00-3.23
Tb 0.0000 0.8770 0.7500  4 Rh 2.98-3.32, 8 Si 3.00-3.23
Tb 0.5000 0.3770 0.7500  4 Rh 2.98-3.32, 8 Si 3.00-3.23
Tb 0.5000 0.6230 0.2500  4 Rh 2.98-3.32, 8 Si 3.00-3.23
Si 0.0958 0.3941 0.0905  2 Rh 2.36-2.45, 2 Si 2.41-2.55
Si 0.0958 0.6059 0.5905  2 Rh 2.36-2.45, 2 Si 2.41-2.55
Si 0.4042 0.1059 0.9095  2 Rh 2.36-2.45, 2 Si 2.41-2.55
Si 0.4042 0.8941 0.4095  2 Rh 2.36-2.45, 2 Si 2.41-2.55
Si 0.5958 0.1059 0.5905  2 Rh 2.36-2.45, 2 Si 2.41-2.55
Si 0.5958 0.8941 0.0905  2 Rh 2.36-2.45, 2 Si 2.41-2.55
Si 0.9042 0.3941 0.4095  2 Rh 2.36-2.45, 2 Si 2.41-2.55
Si 0.9042 0.6059 0.9095  2 Rh 2.36-2.45, 2 Si 2.41-2.55
Rh 0.0000 0.2209 0.7500  4 Si 2.36-2.45
Rh 0.0000 0.7791 0.2500  4 Si 2.36-2.45
Rh 0.5000 0.2791 0.2500  4 Si 2.36-2.45
Rh 0.5000 0.7209 0.7500  4 Si 2.36-2.45



(8)
Compound: Tb2Si4Rh5
Source: the Alexandria database
Functional: PBE
Structure: relaxed

a = 8.4323 Å, b = 7.4922 Å, c = 5.5441 Å
α = 79.06°, β = 60.73°, γ = 40.21°
With the nearest neighbours (Å) after each atom.
Fractional coordinates of all 11 atoms:
Tb 0.1295 0.1295 0.8705  6 Si 3.16-3.33, 10 Rh 3.24-3.33
Tb 0.8705 0.8705 0.1295  6 Si 3.16-3.33, 10 Rh 3.24-3.33
Si 0.2159 0.5188 0.4812  5 Rh 2.34-2.50
Si 0.4812 0.7841 0.2159  5 Rh 2.34-2.50
Si 0.5188 0.2159 0.7841  5 Rh 2.34-2.50
Si 0.7841 0.4812 0.5188  5 Rh 2.34-2.50
Rh 0.0000 0.0000 0.5000  4 Si 2.50, 2 Rh 2.77
Rh 0.2500 0.2500 0.2500  4 Si 2.35
Rh 0.5000 0.5000 0.0000  4 Si 2.50, 2 Rh 2.77
Rh 0.5000 0.5000 0.5000  4 Si 2.34
Rh 0.7500 0.7500 0.7500  4 Si 2.35



(9)
Compound: Tb3Si3Rh2
Source: the Alexandria database
Functional: PBE
Structure: relaxed

Output
ΔE to the lowest computed polymorph = 0.000 eV per atom

a = 5.7560 Å, b = 5.7560 Å, c = 13.8035 Å
α = 90.00°, β = 90.00°, γ = 137.26°
With the nearest neighbours (Å) after each atom.
Fractional coordinates of all 16 atoms:
Tb 0.0792 0.9208 0.6142  6 Si 2.96-3.10, 4 Rh 3.05-3.19
Tb 0.0792 0.9208 0.8858  6 Si 2.96-3.10, 4 Rh 3.05-3.19
Tb 0.3564 0.6436 0.7500  4 Si 2.92-2.93, 4 Rh 3.24
Tb 0.6436 0.3564 0.2500  4 Si 2.92-2.93, 4 Rh 3.24
Tb 0.9208 0.0792 0.1142  6 Si 2.96-3.10, 4 Rh 3.05-3.19
Tb 0.9208 0.0792 0.3858  6 Si 2.96-3.10, 4 Rh 3.05-3.19
Si 0.3349 0.6651 0.2500  2 Rh 2.68, 6 Tb 2.93-2.96
Si 0.3896 0.6104 0.5398  3 Rh 2.44-2.49, 1 Si 2.61
Si 0.3896 0.6104 0.9602  3 Rh 2.44-2.49, 1 Si 2.61
Si 0.6104 0.3896 0.0398  3 Rh 2.44-2.49, 1 Si 2.61
Si 0.6104 0.3896 0.4602  3 Rh 2.44-2.49, 1 Si 2.61
Si 0.6651 0.3349 0.7500  2 Rh 2.68, 6 Tb 2.93-2.96
Rh 0.2153 0.7847 0.0796  4 Si 2.44-2.68
Rh 0.2153 0.7847 0.4204  4 Si 2.44-2.68
Rh 0.7847 0.2153 0.5796  4 Si 2.44-2.68
Rh 0.7847 0.2153 0.9204  4 Si 2.44-2.68



(10)
Compound: TbSi4Rh6
Source: the Alexandria database
Functional: PBE
Structure: relaxed

a = 7.0312 Å, b = 7.0312 Å, c = 3.7815 Å
α = 90.00°, β = 90.00°, γ = 120.00°
With the nearest neighbours (Å) after each atom.
Fractional coordinates of all 11 atoms:
Tb 0.0000 0.0000 0.0000  6 Rh 3.06, 6 Si 3.08
Si 0.3333 0.6667 0.0000  9 Rh 2.43-2.51
Si 0.3999 0.1999 0.5000  6 Rh 2.42-2.49
Si 0.8001 0.1999 0.5000  6 Rh 2.42-2.49
Si 0.8001 0.6001 0.5000  6 Rh 2.42-2.49
Rh 0.1980 0.3961 0.5000  4 Si 2.42-2.51
Rh 0.1980 0.8020 0.5000  4 Si 2.42-2.51
Rh 0.5330 0.0660 0.0000  5 Si 2.43-2.49
Rh 0.5330 0.4670 0.0000  5 Si 2.43-2.49
Rh 0.6039 0.8020 0.5000  4 Si 2.42-2.51
Rh 0.9340 0.4670 0.0000  5 Si 2.43-2.49



(11)
Compound: TbSi3TcRh
Source: the Alexandria database
Functional: PBE
Structure: relaxed

a = 6.7518 Å, b = 6.7518 Å, c = 5.4886 Å
α = 90.00°, β = 90.00°, γ = 111.57°
With the nearest neighbours (Å) after each atom.
Fractional coordinates of all 12 atoms:
Tb 0.2456 0.7544 0.7500  2 Si 2.74
Tb 0.7544 0.2456 0.2500  2 Si 2.74
Si 0.2470 0.7530 0.2500  1 Rh 2.20, 1 Tc 2.22
Si 0.2507 0.2507 0.0000  2 Rh 2.41, 2 Tc 2.41
Si 0.2507 0.2507 0.5000  2 Rh 2.41, 2 Tc 2.41
Si 0.7493 0.7493 0.0000  2 Rh 2.41, 2 Tc 2.41
Si 0.7493 0.7493 0.5000  2 Rh 2.41, 2 Tc 2.41
Si 0.7530 0.2470 0.7500  1 Rh 2.20, 1 Tc 2.22
Tc 0.4461 0.5539 0.2500  5 Si 2.22-2.41
Tc 0.5539 0.4461 0.7500  5 Si 2.22-2.41
Rh 0.0501 0.9499 0.2500  5 Si 2.20-2.41
Rh 0.9499 0.0501 0.7500  5 Si 2.20-2.41



So what do the calculations give for Fermi-level density of states? Going down the list: 0.621, 0.450, 0.618, 0.145, 0.658, 0.671, 0.283, 0.416, 0.515, 0.357, 0.454 states/eV/atom.
So what do the calculations give for energy? Going down the list: -6.6759, -7.2520, -6.2855, -6.6270, -7.1586, -7.2063, -6.6238, -7.1306, -6.5933, -7.4038, -6.8713 eV per atom.